VASP calculation (PBE) on CaFePd2Rh after structural relaxation.

The space group is P4/mmm (No. 123) and the conventional cell measures 4.987, 4.987 and 4.499 Å, with angles of 90.00, 90.00 and 90.00 degrees. The inequivalent atoms are Ca at (0.000, 0.000, 0.000), Fe at (0.500, 0.500, 0.000), Pd at (0.000, 0.500, 0.500) and Rh at (0.500, 0.500, 0.500).

The formation energy is 0.44 eV per atom. For the total moment, the calculation gives 4.465 μB/f.u. The value obtained for the calculated total energy is -26.0 eV/cell.